# LiInGa2

A geometry-optimized LiInGa2 structure (PBE, Alexandria via LeMat-Bulk).

Values from the calculation:
space-group type = Cmcm
ΔE_f = -0.3 eV/f.u.

Lattice parameters (Å, degrees): 5.4271 5.4271 7.0322 90.00 90.00 130.59
With the nearest neighbours (Å) after each atom.
Fractional positions:
Li  0.2132  0.7868  0.7500  6 Ga 2.66-2.76, 1 In 2.88
Li  0.7868  0.2132  0.2500  6 Ga 2.66-2.76, 1 In 2.88
In  0.0788  0.9212  0.2500  3 Li 2.88-3.06, 6 Ga 3.16-3.18
In  0.9212  0.0788  0.7500  3 Li 2.88-3.06, 6 Ga 3.16-3.18
Ga  0.3688  0.6312  0.0584  3 Li 2.66-2.76, 2 Ga 2.69-2.71
Ga  0.3688  0.6312  0.4416  3 Li 2.66-2.76, 2 Ga 2.69-2.71
Ga  0.6312  0.3688  0.5584  3 Li 2.66-2.76, 2 Ga 2.69-2.71
Ga  0.6312  0.3688  0.9416  3 Li 2.66-2.76, 2 Ga 2.69-2.71

# Ag3CI

A geometry-optimized Ag3CI structure (PBE, Alexandria via LeMat-Bulk).

Values from the calculation:
space-group type = Pm-3m
energy relative to the lowest polymorph listed for this composition = 1.0420 eV/atom

Lattice parameters (Å, degrees): 5.5381 5.5381 5.5381 90.00 90.00 90.00
With the nearest neighbours (Å) after each atom.
Fractional positions:
Ag  0.0000  0.0000  0.5000  2 I 2.77
Ag  0.0000  0.5000  0.0000  2 I 2.77
Ag  0.5000  0.0000  0.0000  2 I 2.77
C  0.5000  0.5000  0.5000  12 Ag 3.92
I  0.0000  0.0000  0.0000  6 Ag 2.77

# Co2NiHgH

A geometry-optimized Co2NiHgH structure (PBE, Alexandria via LeMat-Bulk).

Values from the calculation:
uncorrected energy = -4.50 eV/atom
space-group type = P4/mmm

Lattice parameters (Å, degrees): 3.7654 3.7654 3.8673 90.00 90.00 90.00
With the nearest neighbours (Å) after each atom.
Fractional positions:
Co  0.0000  0.5000  0.0000  2 H 1.88
Co  0.5000  0.0000  0.0000  2 H 1.88
Ni  0.0000  0.0000  0.5000  2 H 1.93
Hg  0.5000  0.5000  0.5000  4 Ni 2.66, 8 Co 2.70
H  0.0000  0.0000  0.0000  4 Co 1.88, 2 Ni 1.93

# Pr6Ho4Th

A geometry-optimized Pr6Ho4Th structure (PBE, Alexandria via LeMat-Bulk).

Values from the calculation:
space-group type = Cmcm
ΔE_f = 1.5 eV/f.u.

Lattice parameters (Å, degrees): 5.7078 5.7078 26.0474 90.00 90.00 117.52
With the nearest neighbours (Å) after each atom.
Fractional positions:
Pr  0.0000  0.0000  0.0000  8 Ho 3.27-3.59
Pr  0.0000  0.0000  0.5000  8 Ho 3.27-3.59
Pr  0.0573  0.9427  0.7500  2 Ho 3.28, 3 Th 3.34, 2 Pr 3.65
Pr  0.2974  0.7026  0.0995  7 Ho 3.38-3.75, 1 Pr 3.77
Pr  0.2974  0.7026  0.4005  7 Ho 3.38-3.75, 1 Pr 3.77
Pr  0.3831  0.6169  0.6809  4 Ho 3.59-3.68, 5 Pr 3.60-3.86, 3 Th 3.71-3.83
Pr  0.3831  0.6169  0.8191  4 Ho 3.59-3.68, 5 Pr 3.60-3.86, 3 Th 3.71-3.83
Pr  0.6169  0.3831  0.1809  4 Ho 3.59-3.68, 5 Pr 3.60-3.86, 3 Th 3.71-3.83
Pr  0.6169  0.3831  0.3191  4 Ho 3.59-3.68, 5 Pr 3.60-3.86, 3 Th 3.71-3.83
Pr  0.7026  0.2974  0.5995  7 Ho 3.38-3.75, 1 Pr 3.77
Pr  0.7026  0.2974  0.9005  7 Ho 3.38-3.75, 1 Pr 3.77
Pr  0.9427  0.0573  0.2500  2 Ho 3.28, 3 Th 3.34, 2 Pr 3.65
Ho  0.0479  0.9521  0.6241  6 Pr 3.27-3.59, 1 Ho 3.62
Ho  0.0479  0.9521  0.8759  6 Pr 3.27-3.59, 1 Ho 3.62
Ho  0.3494  0.6506  0.5430  8 Pr 3.49-3.75, 2 Ho 3.62-3.70
Ho  0.3494  0.6506  0.9570  8 Pr 3.49-3.75, 2 Ho 3.62-3.70
Ho  0.6506  0.3494  0.0430  8 Pr 3.49-3.75, 2 Ho 3.62-3.70
Ho  0.6506  0.3494  0.4570  8 Pr 3.49-3.75, 2 Ho 3.62-3.70
Ho  0.9521  0.0479  0.1241  6 Pr 3.27-3.59, 1 Ho 3.62
Ho  0.9521  0.0479  0.3759  6 Pr 3.27-3.59, 1 Ho 3.62
Th  0.2850  0.7150  0.2500  5 Pr 3.34-3.71
Th  0.7150  0.2850  0.7500  5 Pr 3.34-3.71

# Ba2Cd2Hg

A geometry-optimized Ba2Cd2Hg structure (PBE, Alexandria via LeMat-Bulk).

Values from the calculation:
space-group type = P4/mbm
ΔE_f = -1.4 eV/f.u.
energy relative to the lowest polymorph listed for this composition = 0.0876 eV/atom

Lattice parameters (Å, degrees): 8.7620 8.7620 4.8249 90.00 90.00 90.00
With the nearest neighbours (Å) after each atom.
Fractional positions:
Ba  0.1818  0.3182  0.0000  6 Cd 3.45-3.62
Ba  0.3182  0.8182  0.0000  6 Cd 3.45-3.62
Ba  0.6818  0.1818  0.0000  6 Cd 3.45-3.62
Ba  0.8182  0.6818  0.0000  6 Cd 3.45-3.62
Cd  0.1190  0.6190  0.5000  1 Cd 2.95
Cd  0.3810  0.1190  0.5000  1 Cd 2.95
Cd  0.6190  0.8810  0.5000  1 Cd 2.95
Cd  0.8810  0.3810  0.5000  1 Cd 2.95
Hg  0.0000  0.0000  0.5000  4 Cd 3.50
Hg  0.5000  0.5000  0.5000  4 Cd 3.50

# ZnC3

A geometry-optimized ZnC3 structure (PBE, Alexandria via LeMat-Bulk).

Values from the calculation:
space-group type = Cmcm
ΔE_f = 1.8 eV/f.u.
energy relative to the lowest polymorph listed for this composition = 0.0000 eV/atom

Lattice parameters (Å, degrees): 11.2496 11.2496 2.5230 90.00 90.00 158.25
With the nearest neighbours (Å) after each atom.
Fractional positions:
Zn  0.0725  0.9275  0.7500  2 Zn 2.52, 2 C 2.54
Zn  0.9275  0.0725  0.2500  2 Zn 2.52, 2 C 2.54
C  0.0821  0.5822  0.7500  3 C 1.43-1.44
C  0.4178  0.9179  0.7500  3 C 1.43-1.44
C  0.4902  0.5098  0.2500  2 C 1.33
C  0.5098  0.4902  0.7500  2 C 1.33
C  0.5822  0.0821  0.2500  3 C 1.43-1.44
C  0.9179  0.4178  0.2500  3 C 1.43-1.44

# CuP2Pd8

A geometry-optimized CuP2Pd8 structure (PBE, Alexandria via LeMat-Bulk).

Values from the calculation:
space-group type = C2/m
ΔE_f = -3.8 eV/f.u.
energy relative to the lowest polymorph listed for this composition = 0.0000 eV/atom

Lattice parameters (Å, degrees): 6.4677 6.4677 4.4069 98.44 98.44 111.25
With the nearest neighbours (Å) after each atom.
Fractional positions:
Cu  0.0000  0.0000  0.0000  4 Pd 2.60-2.67
P  0.3210  0.6790  0.5000  8 Pd 2.35-2.48
P  0.6790  0.3210  0.5000  8 Pd 2.35-2.48
Pd  0.0675  0.3249  0.5917  2 P 2.42-2.48
Pd  0.2435  0.7565  0.0000  2 P 2.35, 1 Cu 2.60
Pd  0.3249  0.0675  0.5917  2 P 2.42-2.48
Pd  0.3777  0.3777  0.1872  2 P 2.39, 1 Cu 2.67
Pd  0.6223  0.6223  0.8128  2 P 2.39, 1 Cu 2.67
Pd  0.6751  0.9325  0.4083  2 P 2.42-2.48
Pd  0.7565  0.2435  0.0000  2 P 2.35, 1 Cu 2.60
Pd  0.9325  0.6751  0.4083  2 P 2.42-2.48

# Sm8P3PtS4

A geometry-optimized Sm8P3PtS4 structure (PBE, Alexandria via LeMat-Bulk).

Values from the calculation:
uncorrected energy = -6.54 eV/atom
space-group type = R-3m

Lattice parameters (Å, degrees): 8.1520 8.1520 8.1520 60.02 60.02 60.02
With the nearest neighbours (Å) after each atom.
Fractional positions:
Sm  0.2446  0.7512  0.7512  2 P 2.86, 3 S 2.87-2.91, 1 Pt 2.90
Sm  0.2475  0.2475  0.2475  3 P 2.85, 3 S 2.91
Sm  0.2488  0.2488  0.7554  2 P 2.86, 3 S 2.87-2.91, 1 Pt 2.90
Sm  0.2488  0.7554  0.2488  2 P 2.86, 3 S 2.87-2.91, 1 Pt 2.90
Sm  0.7512  0.2446  0.7512  2 P 2.86, 3 S 2.87-2.91, 1 Pt 2.90
Sm  0.7512  0.7512  0.2446  2 P 2.86, 3 S 2.87-2.91, 1 Pt 2.90
Sm  0.7525  0.7525  0.7525  3 P 2.85, 3 S 2.91
Sm  0.7554  0.2488  0.2488  2 P 2.86, 3 S 2.87-2.91, 1 Pt 2.90
P  0.0000  0.0000  0.5000  6 Sm 2.85-2.86
P  0.0000  0.5000  0.0000  6 Sm 2.85-2.86
P  0.5000  0.0000  0.0000  6 Sm 2.85-2.86
Pt  0.5000  0.5000  0.5000  6 Sm 2.90
S  0.0000  0.0000  0.0000  6 Sm 2.87
S  0.0000  0.5000  0.5000  6 Sm 2.91
S  0.5000  0.0000  0.5000  6 Sm 2.91
S  0.5000  0.5000  0.0000  6 Sm 2.91

These records have N(E_F) values of 2.98; 1.41; 5.51; 36.83; 9.95; 1.16; 4.93; 6.94 states/eV/cell, in the order they appear.